1.
Ac2Ga4CuAg3 | PBE | optimized geometry

Summary:
Uncorrected energy   -36.6 eV/cell
Space-group type   P-4m2 (115)
Total moment   0.000 μB per atom

Cell lengths 4.5457, 4.5457, 10.7182 Å; angles 90.00, 90.00, 90.00 degrees
Element x y z (fractional)
Ac 0.0000 0.5000 0.2428
Ac 0.5000 0.0000 0.7572
Ga 0.0000 0.0000 0.5000
Ga 0.0000 0.5000 0.8789
Ga 0.5000 0.0000 0.1211
Ga 0.5000 0.5000 0.5000
Cu 0.5000 0.5000 0.0000
Ag 0.0000 0.0000 0.0000
Ag 0.0000 0.5000 0.6340
Ag 0.5000 0.0000 0.3660

=====

2.
Ac2Ga6CuAg | PBE | optimized geometry

Summary:
Uncorrected energy   -36.9 eV/cell
Space-group type   P-1 (2)
Total moment   0.000 μB per atom

Cell lengths 5.5987, 6.9084, 7.0224 Å; angles 80.17, 66.58, 66.13 degrees
Element x y z (fractional)
Ac 0.0349 0.2164 0.2144
Ac 0.9651 0.7836 0.7856
Ga 0.0111 0.2462 0.7378
Ga 0.3395 0.4072 0.4125
Ga 0.4945 0.7530 0.2630
Ga 0.5055 0.2470 0.7370
Ga 0.6605 0.5928 0.5875
Ga 0.9889 0.7538 0.2622
Cu 0.5000 0.0000 0.5000
Ag 0.5000 0.5000 0.0000

=====

3.
AcGdCuAg | PBE | optimized geometry

Summary:
Uncorrected energy   -25.8 eV/cell
Space-group type   F-43m (216)
Total moment   1.813 μB per atom

Cell lengths 5.3161, 5.3161, 5.3161 Å; angles 60.00, 60.00, 60.00 degrees
Element x y z (fractional)
Ac 0.0000 0.0000 0.0000
Gd 0.5000 0.5000 0.5000
Cu 0.7500 0.7500 0.7500
Ag 0.2500 0.2500 0.2500

=====

4.
Ac2CuAg3Ge4 | PBE | optimized geometry

Summary:
Uncorrected energy   -43.2 eV/cell
Space-group type   P-4m2 (115)
Total moment   0.000 μB per atom

Cell lengths 4.5166, 4.5166, 10.8034 Å; angles 90.00, 90.00, 90.00 degrees
Element x y z (fractional)
Ac 0.0000 0.5000 0.2427
Ac 0.5000 0.0000 0.7573
Cu 0.5000 0.5000 0.0000
Ag 0.0000 0.0000 0.0000
Ag 0.0000 0.5000 0.6340
Ag 0.5000 0.0000 0.3660
Ge 0.0000 0.0000 0.5000
Ge 0.0000 0.5000 0.8751
Ge 0.5000 0.0000 0.1249
Ge 0.5000 0.5000 0.5000

=====

5.
Ac2Cu3AgGe4 | PBE | optimized geometry

Summary:
Uncorrected energy   -46.5 eV/cell
Space-group type   P-4m2 (115)
Total moment   0.000 μB per atom

Cell lengths 4.4275, 4.4275, 10.3357 Å; angles 90.00, 90.00, 90.00 degrees
Element x y z (fractional)
Ac 0.0000 0.5000 0.2451
Ac 0.5000 0.0000 0.7549
Cu 0.0000 0.5000 0.8791
Cu 0.5000 0.0000 0.1209
Cu 0.5000 0.5000 0.5000
Ag 0.0000 0.0000 0.5000
Ge 0.0000 0.0000 0.0000
Ge 0.0000 0.5000 0.6381
Ge 0.5000 0.0000 0.3619
Ge 0.5000 0.5000 0.0000

=====

6.
AcInCuAg | PBE | optimized geometry

Summary:
Uncorrected energy   -14.6 eV/cell
Space-group type   F-43m (216)
Total moment   0.000 μB per atom

Cell lengths 5.1491, 5.1491, 5.1491 Å; angles 60.00, 60.00, 60.00 degrees
Element x y z (fractional)
Ac 0.0000 0.0000 0.0000
In 0.5000 0.5000 0.5000
Cu 0.2500 0.2500 0.2500
Ag 0.7500 0.7500 0.7500

=====

- Which of these has the lowest uncorrected energy?
  Ac2Cu3AgGe4